No. 1
A plane-wave DFT calculation with PBE was carried out for a relaxed structure of TlRe2Te.

extended XYZ file:
```
4
Lattice="3.271 0.000 0.000 0.000 3.271 0.000 0.000 0.000 6.807" Properties=species:S:1:pos:R:3 pbc="T T T"
Tl 0.000 0.000 0.000
Re 1.636 1.636 1.841
Re 1.636 1.636 4.966
Te 0.000 0.000 3.404
```

Computed properties:
SG: P4/mmm (123)
E_form (uncorrected), eV/atom: 1.07
Energy above the lowest structure with this stoichiometry, meV per atom: 664
V, Å³/cell: 73

---

No. 2
A plane-wave DFT calculation with PBE was carried out for a relaxed structure of TlReTe2.

extended XYZ file:
```
4
Lattice="-2.300 2.300 4.368 2.300 -2.300 4.368 2.300 2.300 -4.368" Properties=species:S:1:pos:R:3 pbc="T T T"
Tl 0.000 0.000 0.000
Re 2.300 0.000 2.184
Te 0.000 0.000 4.368
Te 0.000 2.300 2.184
```

Computed properties:
SG: I-4m2 (119)
E_form (uncorrected), eV/atom: 1.09
Energy above the lowest structure with this stoichiometry, meV per atom: 847
V, Å³/cell: 92

---

No. 3
A plane-wave DFT calculation with PBE was carried out for a relaxed structure of TlReTe3.

extended XYZ file:
```
5
Lattice="5.726 0.000 0.000 0.000 5.726 0.000 0.000 0.000 5.726" Properties=species:S:1:pos:R:3 pbc="T T T"
Tl 0.000 0.000 0.000
Re 2.863 2.863 2.863
Te 0.000 0.000 2.863
Te 0.000 2.863 0.000
Te 2.863 0.000 0.000
```

Computed properties:
SG: Pm-3m (221)
E_form (uncorrected), eV/atom: 1.74
V, Å³/cell: 188

---

No. 4
A plane-wave DFT calculation with PBE was carried out for a relaxed structure of TlRe2Te.

extended XYZ file:
```
4
Lattice="4.438 -1.542 0.000 4.438 1.542 0.000 -1.385 0.000 5.749" Properties=species:S:1:pos:R:3 pbc="T T T"
Tl 0.000 0.000 0.000
Re 1.310 0.000 4.010
Re 6.181 0.000 1.739
Te 3.745 0.000 2.875
```

Computed properties:
SG: C2/m (12)
E_form (uncorrected), eV/atom: 1.02
Energy above the lowest structure with this stoichiometry, meV per atom: 613
V, Å³/cell: 79

---

No. 5
A plane-wave DFT calculation with PBE was carried out for a relaxed structure of TlReTe2.

extended XYZ file:
```
4
Lattice="-1.627 2.482 6.454 1.627 -2.482 6.454 1.627 2.482 -6.454" Properties=species:S:1:pos:R:3 pbc="T T T"
Tl 0.000 0.000 0.000
Re 0.000 0.000 6.454
Te 1.627 0.000 4.226
Te 0.000 2.482 2.228
```

Computed properties:
SG: Immm (71)
E_form (uncorrected), eV/atom: 0.45
Energy above the lowest structure with this stoichiometry, meV per atom: 209
V, Å³/cell: 104

---

No. 6
A plane-wave DFT calculation with PBE was carried out for a relaxed structure of TlReTe2.

extended XYZ file:
```
4
Lattice="1.666 -2.662 0.000 1.666 2.662 0.000 0.000 0.000 11.391" Properties=species:S:1:pos:R:3 pbc="T T T"
Tl 0.000 0.000 0.000
Re 1.666 0.000 8.868
Te 0.000 0.000 6.818
Te 1.666 0.000 3.282
```

Computed properties:
SG: Cmm2 (35)
E_form (uncorrected), eV/atom: 0.68
Energy above the lowest structure with this stoichiometry, meV per atom: 442
V, Å³/cell: 101

---

No. 7
A plane-wave DFT calculation with PBE was carried out for a relaxed structure of TlReTe2.

extended XYZ file:
```
4
Lattice="1.573 0.908 11.999 -1.573 0.908 11.999 0.000 -1.816 11.999" Properties=species:S:1:pos:R:3 pbc="T T T"
Tl 0.000 0.000 0.000
Re 0.000 0.000 17.998
Te 0.000 0.000 15.370
Te 0.000 0.000 20.626
```

Computed properties:
SG: R-3m (166)
E_form (uncorrected), eV/atom: 0.73
Energy above the lowest structure with this stoichiometry, meV per atom: 494
V, Å³/cell: 103

---

No. 8
A plane-wave DFT calculation with PBE was carried out for a relaxed structure of TlReTe2.

extended XYZ file:
```
4
Lattice="0.000 3.588 3.588 3.588 0.000 3.588 3.588 3.588 0.000" Properties=species:S:1:pos:R:3 pbc="T T T"
Tl 0.000 0.000 0.000
Re 1.794 1.794 1.794
Te 3.588 3.588 3.588
Te 5.382 5.382 5.382
```

Computed properties:
SG: F-43m (216)
E_form (uncorrected), eV/atom: 1.16
Energy above the lowest structure with this stoichiometry, meV per atom: 925
V, Å³/cell: 92

---

Result set for E: -6.531, -4.187, -3.109, -6.582, -4.825, -4.592, -4.540, -4.110 eV per atom, one per record in the order listed.